# 1
First-principles (GGA-PBE) data for a geometry-optimized Tl4AgSe3 structure, as listed in Alexandria via LeMat-Bulk.

Electronic total energy: -3.124 eV/atom
Formation energy (no corrections): -278 meV per atom

Structure (extended XYZ):
```
16
Lattice="-6.255 6.255 2.858 6.255 -6.255 2.858 6.255 6.255 -2.858" Properties=species:S:1:pos:R:3 pbc="T T T"
Tl 9.653 1.051 0.000
Tl 1.051 2.858 0.000
Tl 7.306 3.397 0.000
Tl 3.397 5.204 0.000
Tl 2.858 1.051 2.858
Tl -1.051 2.858 2.858
Tl 5.204 3.397 2.858
Tl -3.397 5.204 2.858
Ag 6.255 0.000 1.429
Ag 0.000 6.255 1.429
Se 4.544 1.712 0.000
Se 0.000 0.000 1.429
Se 4.544 -1.712 2.858
Se 1.712 7.967 0.000
Se 0.000 0.000 4.287
Se 1.712 4.544 2.858
```



# 2
First-principles (GGA-PBE) data for a geometry-optimized CoRh2 structure, as listed in Alexandria via LeMat-Bulk.

Formation energy: 62 meV/atom
Electronic total energy: -7.207 eV/atom

Structure (extended XYZ):
```
6
Lattice="4.583 0.000 0.000 0.000 2.685 0.000 -0.068 0.000 6.496" Properties=species:S:1:pos:R:3 pbc="T T T"
Co 0.349 0.671 1.018
Co 4.166 2.014 5.478
Rh 1.093 2.014 3.207
Rh 1.827 0.671 5.432
Rh 2.688 2.014 1.064
Rh 3.422 0.671 3.289
```



# 3
First-principles (GGA-PBE) data for a geometry-optimized Cd4TeAs structure, as listed in Alexandria via LeMat-Bulk.

Electronic total energy: -1.649 eV/atom
Formation energy (no corrections): 260 meV per atom

Structure (extended XYZ):
```
6
Lattice="0.000 4.169 4.169 4.169 0.000 4.169 4.169 4.169 0.000" Properties=species:S:1:pos:R:3 pbc="T T T"
Cd 1.044 1.044 1.044
Cd 3.124 3.124 1.044
Cd 3.124 1.044 3.124
Cd 1.044 3.124 3.124
Te 6.253 6.253 6.253
As 4.169 4.169 4.169
```



# 4
First-principles (GGA-PBE) data for a geometry-optimized Cr2FeAg structure, as listed in Alexandria via LeMat-Bulk.

Formation energy: 510 meV/atom
Electronic total energy: -7.130 eV/atom

Structure (extended XYZ):
```
16
Lattice="6.088 0.000 0.000 0.000 6.088 0.000 0.000 0.000 6.088" Properties=species:S:1:pos:R:3 pbc="T T T"
Cr 0.000 0.000 0.000
Cr 0.000 3.044 3.044
Cr 1.522 1.522 1.522
Cr 1.522 4.566 4.566
Cr 3.044 0.000 3.044
Cr 3.044 3.044 0.000
Cr 4.566 1.522 4.566
Cr 4.566 4.566 1.522
Fe 0.000 0.000 3.044
Fe 0.000 3.044 0.000
Fe 3.044 0.000 0.000
Fe 3.044 3.044 3.044
Ag 1.522 1.522 4.566
Ag 1.522 4.566 1.522
Ag 4.566 1.522 1.522
Ag 4.566 4.566 4.566
```



# 5
First-principles (GGA-PBE) data for a geometry-optimized TaSiTe2 structure, as listed in Alexandria via LeMat-Bulk.

Electronic total energy: -5.234 eV/atom
Formation energy (no corrections): 656 meV per atom

Structure (extended XYZ):
```
8
Lattice="4.331 0.000 0.000 0.000 4.331 0.000 0.000 0.000 9.090" Properties=species:S:1:pos:R:3 pbc="T T T"
Ta 0.000 0.000 0.000
Ta 2.166 2.166 4.545
Si 0.000 2.166 2.272
Si 2.166 0.000 6.817
Te 0.000 0.000 4.545
Te 0.000 2.166 6.817
Te 2.166 0.000 2.272
Te 2.166 2.166 0.000
```



# 6
First-principles (GGA-PBE) data for a geometry-optimized ScOs2Pb structure, as listed in Alexandria via LeMat-Bulk.

Formation energy: 242 meV/atom
Electronic total energy: -7.883 eV/atom

Structure (extended XYZ):
```
4
Lattice="2.951 0.000 0.000 0.000 3.796 0.000 0.000 0.000 7.065" Properties=species:S:1:pos:R:3 pbc="T T T"
Sc 0.000 0.000 0.000
Os 0.000 0.000 2.654
Os 1.476 1.898 1.638
Pb 1.476 1.898 4.692
```



# 7
First-principles (GGA-PBE) data for a geometry-optimized Ba2NpAg2S6 structure, as listed in Alexandria via LeMat-Bulk.

Electronic total energy: -5.336 eV/atom
Formation energy (no corrections): -1040 meV per atom

Structure (extended XYZ):
```
11
Lattice="3.798 2.193 6.171 -3.798 2.193 6.171 0.000 -4.385 6.171" Properties=species:S:1:pos:R:3 pbc="T T T"
Ba 0.000 0.000 4.139
Ba 0.000 0.000 14.374
Np 0.000 0.000 0.000
Ag 0.000 0.000 7.775
Ag 0.000 0.000 10.739
S -2.090 -1.207 10.742
S 0.000 -2.413 7.771
S -2.090 1.207 7.771
S 2.090 -1.207 10.742
S 0.000 2.413 10.742
S 2.090 1.207 7.771
```



# 8
First-principles (GGA-PBE) data for a geometry-optimized Tb4IrRu structure, as listed in Alexandria via LeMat-Bulk.

Formation energy: -458 meV/atom
Electronic total energy: -6.567 eV/atom

Structure (extended XYZ):
```
12
Lattice="6.850 0.000 0.000 0.000 6.852 0.000 -0.065 0.000 6.847" Properties=species:S:1:pos:R:3 pbc="T T T"
Tb 1.103 1.129 1.142
Tb 1.071 2.297 4.566
Tb 2.273 4.551 1.109
Tb 2.240 5.727 4.532
Tb 4.545 1.125 2.315
Tb 4.513 2.301 5.738
Tb 5.714 4.555 2.281
Tb 5.682 5.723 5.704
Ir 3.425 0.000 0.000
Ir 3.393 3.426 3.423
Ru -0.032 0.000 3.423
Ru 0.000 3.426 0.000
```